<one>
5
Lattice="10.376 -0.003 -0.002 -0.304 2.498 0.000 -0.304 1.230 2.174" Properties=species:S:1:pos:R:3 comment="Fe2Ni3 | the Alexandria database | PBE-GGA | optimized geometry" density_g_cm3=8.48 pbc="T T T"
Ni 3.659 2.981 1.738
Ni 6.109 0.745 0.434
Fe 7.922 2.233 1.302
Fe 1.845 1.492 0.870
Ni 0.000 0.000 0.000

***

<two>
5
Lattice="-2.371 2.208 1.451 -3.813 -1.873 0.962 0.173 0.179 4.353" Properties=species:S:1:pos:R:3 comment="Fe2Ni3 | the Alexandria database | PBE-GGA | optimized geometry" density_g_cm3=8.50 pbc="T T T"
Ni -2.998 -0.715 4.875
Fe -4.303 -0.716 2.743
Ni -3.014 1.229 1.891
Fe -1.708 1.230 4.023
Ni -1.820 -0.847 2.658

***

<three>
20
Lattice="-2.434 3.004 -0.476 0.013 -1.158 -7.372 -6.444 -5.096 0.789" Properties=species:S:1:pos:R:3 comment="Fe2Ni3 | the Alexandria database | PBE-GGA | optimized geometry" density_g_cm3=7.97 pbc="T T T"
Ni -2.910 0.992 -2.768
Fe -2.062 1.330 -4.970
Ni -0.826 -0.434 -6.481
Fe -3.241 -0.003 -7.349
Ni -2.730 -1.915 -6.088
Ni -7.167 -2.966 -5.975
Ni -3.948 -0.184 -4.880
Fe -3.584 -1.754 -0.711
Ni -5.955 -4.242 -4.290
Ni -4.917 -3.067 -2.178
Fe -2.396 -1.214 -3.381
Ni -1.698 -0.285 -1.084
Fe -6.803 -4.581 -2.089
Ni -4.813 -0.539 -2.695
Ni -8.038 -2.816 -0.577
Fe -5.623 -3.247 0.291
Fe -6.469 -2.036 -3.678
Ni -6.134 -1.336 -0.970
Fe -5.281 -1.497 -6.347
Ni -4.051 -2.712 -4.363

***

<two> is the most stable structure; the next one sits 34 meV/atom above it.

***

<one>
7
Lattice="-3.104 3.298 -0.765 -2.095 0.280 -4.078 -3.250 -2.715 1.484" Properties=species:S:1:pos:R:3 comment="Fe4Ni3 | the Alexandria database | PBE-GGA | optimized geometry" density_g_cm3=8.09 pbc="T T T"
Ni -2.600 1.789 -2.422
Ni -1.048 0.140 -2.039
Fe -3.358 -0.165 -0.873
Fe -2.415 -2.017 1.102
Ni -1.552 1.649 -0.383
Fe -0.835 -0.697 0.381
Fe -5.092 1.028 -2.487

***

<two>
7
Lattice="2.915 0.000 0.000 -1.458 9.636 0.033 0.000 0.431 2.883" Properties=species:S:1:pos:R:3 comment="Fe4Ni3 | the Alexandria database | PBE-GGA | optimized geometry" density_g_cm3=8.19 pbc="T T T"
Ni 0.000 5.821 2.077
Fe 0.000 3.192 2.470
Fe 1.458 6.875 0.446
Ni 1.458 4.245 0.839
Ni 0.000 0.000 0.000
Fe 0.000 8.481 1.679
Fe 1.458 1.585 1.237

***

<two> is the most stable structure; the next one sits 17 meV/atom above it.

***

<one>
14
Lattice="-2.652 3.307 0.942 -4.982 -4.106 0.383 2.588 -2.180 4.928" Properties=species:S:1:pos:R:3 comment="Fe2Ni5 | the Alexandria database | PBE-GGA | optimized geometry" density_g_cm3=8.62 pbc="T T T"
Ni -2.645 -1.484 4.391
Ni 1.603 -1.622 3.575
Fe -4.611 -0.352 1.670
Ni -6.650 -1.357 2.678
Ni -2.217 -3.651 3.198
Ni -4.426 -2.496 2.929
Fe -3.830 -3.553 5.095
Fe -0.435 -2.626 4.583
Ni -0.620 -0.483 3.324
Ni -3.443 1.713 0.876
Fe -1.217 0.574 1.158
Ni -2.830 0.672 3.055
Ni -2.402 -1.495 1.862
Ni -4.192 -2.511 0.449

***

<two>
14
Lattice="-1.039 -1.380 3.013 -2.718 -1.394 -1.575 7.884 -10.661 -4.166" Properties=species:S:1:pos:R:3 comment="Fe2Ni5 | the Alexandria database | PBE-GGA | optimized geometry" density_g_cm3=8.18 pbc="T T T"
Fe 0.852 -2.708 -0.947
Ni 1.647 -6.726 -2.513
Ni -1.170 -3.874 -0.176
Ni 4.849 -11.661 -3.669
Ni 2.480 -6.709 -0.216
Ni 2.094 -4.623 -1.396
Fe 0.059 -5.768 -0.620
Ni 5.677 -11.636 -1.371
Fe 3.276 -10.727 -1.782
Ni 2.033 -8.812 -1.333
Ni -0.722 -1.774 0.940
Fe 4.068 -7.667 -2.109
Ni -1.549 -1.799 -1.358
Ni 5.298 -9.561 -2.553

***

<one> is the most stable structure; the next one sits 168 meV/atom above it.